Entry from Alexandria via LeMat-Bulk: a PBEsol-optimized structure of SrBiPd3 (SCAN).

Its total energy is -39.99 eV/atom. The value obtained for the formation energy is -0.8 eV/f.u. The magnetization is 0.00 μB per formula unit. The density of states at the Fermi level is 3.21 states/eV per cell.

a b c (Å): 5.0615 5.0615 5.0615
angles (deg): 90.00 90.00 90.00
Atoms (fractional coordinates):
Sr 0.5000 0.5000 0.5000
Pd 0.0000 0.0000 0.5000
Pd 0.0000 0.5000 0.0000
Pd 0.5000 0.0000 0.0000
Bi 0.0000 0.0000 0.0000